Tm2ZnAu6 | PBE-GGA | relaxed

a b c (Å): 6.236 6.236 5.392
angles (deg): 90.10 90.10 59.83
Element x y z (fractional)
Tm1 0.166 0.166 0.175
Tm2 0.834 0.834 0.825
Zn1 0.500 0.500 0.000
Au1 0.137 0.681 0.305
Au2 0.318 0.318 0.696
Au3 0.319 0.863 0.695
Au4 0.681 0.137 0.305
Au5 0.682 0.682 0.304
Au6 0.863 0.319 0.695

Properties
DFT formation energy (eV/atom): -0.563
Energy (Ry per atom): -0.285
V (Å³/atom): 20.14



CsTmVCl6 | PBE-GGA | relaxed

a b c (Å): 6.635 6.635 7.946
angles (deg): 90.00 90.00 120.00
Element x y z (fractional)
Cs1 0.000 0.000 0.000
Tm1 0.667 0.333 0.500
V1 0.333 0.667 0.500
Cl1 0.013 0.377 0.684
Cl2 0.013 0.637 0.316
Cl3 0.363 0.377 0.316
Cl4 0.363 0.987 0.684
Cl5 0.623 0.637 0.684
Cl6 0.623 0.987 0.316

Properties
Energy (Ry per atom): -0.346
V (Å³/atom): 33.66
E_form (uncorrected) (meV per atom): -1875